# 1
DFT (PBE) results for a relaxed structure of Pr3Sn2Ir.

Summary:
* electronic total energy: -5.95 eV/atom

Cell lengths 4.519, 12.081, 12.824 Å; angles 90.00, 90.00, 90.00 degrees
Sites, in units of the cell vectors:
Pr (0.750, 0.953, 0.118)
Sn (0.250, 0.499, 0.808)
Ir (0.250, 0.132, 0.127)
Pr (0.250, 0.047, 0.882)
Pr (0.250, 0.707, 0.237)
Sn (0.750, 0.501, 0.192)
Sn (0.250, 0.692, 0.496)
Sn (0.250, 0.808, 0.996)
Pr (0.750, 0.629, 0.947)
Pr (0.750, 0.293, 0.763)
Ir (0.250, 0.368, 0.627)
Sn (0.750, 0.192, 0.004)
Pr (0.750, 0.547, 0.618)
Ir (0.750, 0.868, 0.873)
Pr (0.750, 0.207, 0.263)
Pr (0.250, 0.129, 0.553)
Sn (0.750, 0.999, 0.692)
Pr (0.250, 0.793, 0.737)
Pr (0.250, 0.453, 0.382)
Pr (0.750, 0.871, 0.447)
Ir (0.750, 0.632, 0.373)
Pr (0.250, 0.371, 0.053)
Sn (0.750, 0.308, 0.504)
Sn (0.250, 0.001, 0.308)

# 2
DFT (PBE) results for a relaxed structure of ZrAlZn.

Summary:
* electronic total energy: -4.45 eV/atom

Cell lengths 3.728, 4.387, 7.551 Å; angles 90.00, 90.00, 90.00 degrees
Sites, in units of the cell vectors:
Zr (0.000, 0.500, 0.750)
Zn (0.000, 0.000, 0.500)
Zn (0.000, 0.000, 0.000)
Zr (0.000, 0.500, 0.250)
Al (0.500, 0.000, 0.250)
Al (0.500, 0.000, 0.750)

Volume for the records above, in order: 29.17 20.59 Å³ per atom
ΔH_f (0 K) for the records above, in order: -0.748 0.069 eV/atom